Entry 1:
Material: CdC2S2N2
Method: DFT, PBE-GGA
State: optimized geometry

```
data_CdC2S2N2
_chemical_formula_sum 'Cd4 C8 S8 N8'
_cell_length_a 5.939
_cell_length_b 13.689
_cell_length_c 7.993
_cell_angle_alpha 90.00
_cell_angle_beta 114.86
_cell_angle_gamma 90.00
_symmetry_space_group_name_H-M 'P 1'
_symmetry_Int_Tables_number 1
loop_
_symmetry_equiv_pos_as_xyz
'x,y,z'
loop_
_atom_site_label
_atom_site_fract_x
_atom_site_fract_y
_atom_site_fract_z
Cd1 0.181 0.131 0.100
Cd2 0.181 0.369 0.600
Cd3 0.819 0.631 0.400
Cd4 0.819 0.869 0.900
C1 0.264 0.520 0.284
C2 0.264 0.980 0.784
C3 0.374 0.744 0.507
C4 0.374 0.756 0.007
C5 0.626 0.244 0.993
C6 0.626 0.256 0.493
C7 0.736 0.020 0.216
C8 0.736 0.480 0.716
S1 0.000 0.027 0.765
S2 0.000 0.473 0.265
S3 0.000 0.527 0.735
S4 0.000 0.973 0.235
S5 0.357 0.212 0.467
S6 0.357 0.288 0.967
S7 0.643 0.712 0.033
S8 0.643 0.788 0.533
N1 0.179 0.713 0.488
N2 0.179 0.787 0.988
N3 0.453 0.553 0.294
N4 0.453 0.947 0.794
N5 0.547 0.053 0.206
N6 0.547 0.447 0.706
N7 0.821 0.213 0.012
N8 0.821 0.287 0.512
```

Values from the calculation:
N(E_F), states/eV/atom: 0.000
V, Å³/cell: 590
Raw total energy, eV per cell: -173.96
Magnetic moment, μB/f.u.: 0.000

---

Entry 2:
Material: Ta3Os
Method: DFT, PBE-GGA
State: optimized geometry

```
data_Ta3Os
_chemical_formula_sum 'Ta3 Os1'
_cell_length_a 4.595
_cell_length_b 4.595
_cell_length_c 3.216
_cell_angle_alpha 90.00
_cell_angle_beta 90.00
_cell_angle_gamma 90.00
_symmetry_space_group_name_H-M 'P 1'
_symmetry_Int_Tables_number 1
loop_
_symmetry_equiv_pos_as_xyz
'x,y,z'
loop_
_atom_site_label
_atom_site_fract_x
_atom_site_fract_y
_atom_site_fract_z
Ta1 0.000 0.000 0.000
Ta2 0.000 0.500 0.500
Ta3 0.500 0.000 0.500
Os1 0.500 0.500 0.000
```

Values from the calculation:
ΔE_f, meV/atom: -281
N(E_F), states/eV/atom: 0.395
V, Å³/cell: 68
Magnetic moment, μB/f.u.: 0.000

---

> magnetic moment of number 2 (Ta3Os)?

0.000 μB/f.u.

---

> Which formula does entry 1 have?

CdC2S2N2

---

Copy entry 2 word for word.
Material: Ta3Os
Method: DFT, PBE-GGA
State: optimized geometry

```
data_Ta3Os
_chemical_formula_sum 'Ta3 Os1'
_cell_length_a 4.595
_cell_length_b 4.595
_cell_length_c 3.216
_cell_angle_alpha 90.00
_cell_angle_beta 90.00
_cell_angle_gamma 90.00
_symmetry_space_group_name_H-M 'P 1'
_symmetry_Int_Tables_number 1
loop_
_symmetry_equiv_pos_as_xyz
'x,y,z'
loop_
_atom_site_label
_atom_site_fract_x
_atom_site_fract_y
_atom_site_fract_z
Ta1 0.000 0.000 0.000
Ta2 0.000 0.500 0.500
Ta3 0.500 0.000 0.500
Os1 0.500 0.500 0.000
```

Values from the calculation:
ΔE_f, meV/atom: -281
N(E_F), states/eV/atom: 0.395
V, Å³/cell: 68
Magnetic moment, μB/f.u.: 0.000